# POsRh2

Crystalline POsRh2 at its relaxed geometry (PBE, the Alexandria database).

Properties
Mass density in g/cm³: 12.8
Calculated formation energy in eV per atom: 0.214
Calculated volume in Å³ per cell: 56
DFT total energy in eV/atom: -7.62
Total magnetic moment in μB/f.u.: 0.00
N(E_F) in states/eV/cell: 5.5

Cell lengths 2.8115, 4.4097, 4.4814 Å; angles 90.00, 90.00, 90.00 degrees
Space group Pmmm (No. 47)
Inequivalent atoms, fractional coordinates:
P (0.0000, 0.0000, 0.0000)
Os (0.5000, 0.5000, 0.0000)
Rh (0.0000, 0.5000, 0.5000)
Rh (0.5000, 0.0000, 0.5000)